# 1
## YP2Pd2 (GGA-PBEsol)

Data for a relaxed structure of YP2Pd2.

a b c (Å): 4.3962 4.3962 5.4180
angles (deg): 113.94 113.94 90.00
Last column: nearest neighbours and their distance in Å.
Fractional coordinates of all 5 atoms:
Y1 0.0000 0.0000 0.0000  8 P 3.12, 10 Pd 3.12-3.37
P1 0.2500 0.7500 0.5000  4 Pd 2.38
P2 0.7500 0.2500 0.5000  4 Pd 2.38
Pd1 0.3521 0.3521 0.7042  4 P 2.38, 1 Pd 2.63
Pd2 0.6479 0.6479 0.2958  4 P 2.38, 1 Pd 2.63

Properties
Its formation enthalpy at 0 K is -802 meV/atom. Its space-group type is No. 139. The value obtained for the total magnetization is 0.0 μB per cell. Its density of states at the Fermi level is 2.40 states/eV per cell.



# 2
## YPPd3 (GGA-PBEsol)

Data for a relaxed structure of YPPd3.

a b c (Å): 4.5069 4.5069 4.5069
angles (deg): 90.00 90.00 90.00
Last column: nearest neighbours and their distance in Å.
Fractional coordinates of all 5 atoms:
Y1 0.5000 0.5000 0.5000  12 Pd 3.19
P1 0.0000 0.0000 0.0000  6 Pd 2.25
Pd1 0.0000 0.5000 0.0000  2 P 2.25
Pd2 0.0000 0.0000 0.5000  2 P 2.25
Pd3 0.5000 0.0000 0.0000  2 P 2.25

Properties
Its formation enthalpy at 0 K is -700 meV/atom. Its space-group type is No. 221. The value obtained for the total magnetization is 0.0 μB per cell. Its density of states at the Fermi level is 1.91 states/eV per cell.



# 3
## ZnPPd5 (GGA-PBEsol)

Data for a relaxed structure of ZnPPd5.

a b c (Å): 3.8589 3.8589 6.7537
angles (deg): 90.00 90.00 90.00
Last column: nearest neighbours and their distance in Å.
Fractional coordinates of all 7 atoms:
P1 0.0000 0.0000 0.5000  8 Pd 2.39
Zn1 0.5000 0.5000 0.0000  12 Pd 2.73-2.76
Pd1 0.0000 0.0000 0.0000  4 Zn 2.73, 8 Pd 2.76
Pd2 0.5000 0.0000 0.7080  2 P 2.39
Pd3 0.0000 0.5000 0.7080  2 P 2.39
Pd4 0.5000 0.0000 0.2920  2 P 2.39
Pd5 0.0000 0.5000 0.2920  2 P 2.39

Properties
Its formation enthalpy at 0 K is -512 meV/atom. Its space-group type is No. 123. The value obtained for the total magnetization is 0.0 μB per cell. Its density of states at the Fermi level is 3.00 states/eV per cell.



# 4
## ZnPPd3 (GGA-PBEsol)

Data for a relaxed structure of ZnPPd3.

a b c (Å): 4.4965 4.4965 4.4965
angles (deg): 90.00 90.00 90.00
Last column: nearest neighbours and their distance in Å.
Fractional coordinates of all 5 atoms:
P1 0.5000 0.5000 0.5000  12 Pd 3.18
Zn1 0.0000 0.0000 0.0000  6 Pd 2.25
Pd1 0.0000 0.5000 0.0000  2 Zn 2.25
Pd2 0.0000 0.0000 0.5000  2 Zn 2.25
Pd3 0.5000 0.0000 0.0000  2 Zn 2.25

Properties
Its formation enthalpy at 0 K is 766 meV/atom. Its space-group type is No. 221. The value obtained for the total magnetization is 0.0 μB per cell. Its density of states at the Fermi level is 2.22 states/eV per cell.



# 5
## Zr5P7Pd9 (GGA-PBEsol)

Data for a relaxed structure of Zr5P7Pd9.

a b c (Å): 3.8082 6.4268 13.4566
angles (deg): 103.82 90.00 90.00
Last column: nearest neighbours and their distance in Å.
Fractional coordinates of all 21 atoms:
Zr1 0.5000 0.9053 0.4569  5 P 2.58-2.79
Zr2 0.5000 0.4484 0.5431  5 P 2.58-2.79
Zr3 0.0000 0.4786 0.0000  5 P 2.58-2.69
Zr4 0.0000 0.1850 0.1774  5 P 2.70-2.75, 5 Pd 2.87-3.01
Zr5 0.0000 0.0076 0.8226  5 P 2.70-2.75, 5 Pd 2.87-3.01
P1 0.5000 0.7407 0.7124  6 Pd 2.41-2.66, 1 Zr 2.58
P2 0.0000 0.8805 0.0000  6 Pd 2.47-2.58, 3 Zr 2.58-2.70
P3 0.0000 0.6046 0.4276  5 Pd 2.46-2.54, 2 Zr 2.67
P4 0.0000 0.1770 0.5724  5 Pd 2.46-2.54, 2 Zr 2.67
P5 0.5000 0.4513 0.1380  3 Pd 2.37-2.44
P6 0.5000 0.0283 0.2876  6 Pd 2.41-2.66, 1 Zr 2.58
P7 0.5000 0.3133 0.8620  3 Pd 2.37-2.44
Pd1 0.0000 0.7686 0.2739  3 P 2.51-2.54
Pd2 0.0000 0.4947 0.7261  3 P 2.51-2.54
Pd3 0.5000 0.1259 0.0000  4 P 2.44-2.47
Pd4 0.0000 0.2015 0.3926  4 P 2.46-2.52
Pd5 0.5000 0.1347 0.6812  4 P 2.43-2.66
Pd6 0.5000 0.4535 0.3188  4 P 2.43-2.66
Pd7 0.5000 0.6906 0.8841  4 P 2.37-2.58
Pd8 0.5000 0.8065 0.1159  4 P 2.37-2.58
Pd9 0.0000 0.8089 0.6074  4 P 2.46-2.52

Properties
Its formation enthalpy at 0 K is -1017 meV/atom. Its space-group type is No. 38. The value obtained for the total magnetization is 0.0 μB per cell. Its density of states at the Fermi level is 6.44 states/eV per cell.



# 6
## PrP (GGA-PBEsol)

Data for a relaxed structure of PrP.

a b c (Å): 4.1516 4.1516 4.1516
angles (deg): 60.00 60.00 60.00
Last column: nearest neighbours and their distance in Å.
Fractional coordinates of all 2 atoms:
Pr1 0.5000 0.5000 0.5000  6 P 2.94
P1 0.0000 0.0000 0.0000  6 Pr 2.94

Properties
Its formation enthalpy at 0 K is -1516 meV/atom. Its space-group type is No. 225. The value obtained for the total magnetization is 0.0 μB per cell. Its density of states at the Fermi level is 0.23 states/eV per cell.



# 7
## PrP2 (GGA-PBEsol)

Data for a relaxed structure of PrP2.

a b c (Å): 3.9892 6.5168 9.8290
angles (deg): 90.00 97.31 90.00
Last column: nearest neighbours and their distance in Å.
Fractional coordinates of all 12 atoms:
Pr1 0.7209 0.1809 0.6408  9 P 2.90-3.14
Pr2 0.7791 0.6809 0.8592  9 P 2.90-3.14
Pr3 0.2791 0.8191 0.3592  9 P 2.90-3.14
Pr4 0.2209 0.3191 0.1408  9 P 2.90-3.14
P1 0.2028 0.8363 0.6639  1 P 2.22
P2 0.2972 0.3363 0.8361  1 P 2.22
P3 0.7972 0.1637 0.3361  1 P 2.22
P4 0.7028 0.6637 0.1639  1 P 2.22
P5 0.6541 0.1208 0.9534  2 P 2.22-2.26
P6 0.8459 0.6208 0.5466  2 P 2.22-2.26
P7 0.3459 0.8792 0.0466  2 P 2.22-2.26
P8 0.1541 0.3792 0.4534  2 P 2.22-2.26

Properties
Its formation enthalpy at 0 K is -1058 meV/atom. Its space-group type is No. 14. The value obtained for the total magnetization is 0.0 μB per cell. Its density of states at the Fermi level is 1.00 states/eV per cell.



# 8
## PrP2Pt2 (GGA-PBEsol)

Data for a relaxed structure of PrP2Pt2.

a b c (Å): 4.2507 4.2507 10.0455
angles (deg): 102.21 102.21 90.00
Last column: nearest neighbours and their distance in Å.
Fractional coordinates of all 10 atoms:
Pr1 0.6255 0.6255 0.2510  8 P 3.19-3.20, 9 Pt 3.21-3.48
Pr2 0.3745 0.3745 0.7490  8 P 3.19-3.20, 9 Pt 3.21-3.48
P1 0.9304 0.9304 0.8607  5 Pt 2.36-2.51
P2 0.0696 0.0696 0.1393  5 Pt 2.36-2.51
P3 0.2500 0.7500 0.5000  4 Pt 2.39
P4 0.7500 0.2500 0.5000  4 Pt 2.39
Pt1 0.8071 0.8071 0.6141  5 P 2.36-2.39
Pt2 0.1929 0.1929 0.3859  5 P 2.36-2.39
Pt3 0.5000 0.0000 0.0000  4 P 2.51
Pt4 0.0000 0.5000 0.0000  4 P 2.51

Properties
Its formation enthalpy at 0 K is -1041 meV/atom. Its space-group type is No. 139. The value obtained for the total magnetization is 0.0 μB per cell. Its density of states at the Fermi level is 1.71 states/eV per cell.